VASP calculation (GGA-PBE) on MgSi2 after structural relaxation.

As for the crystal system: triclinic. As for the calculated volume: 60.0 Å³/f.u. As for the distance to the lowest polymorph of the same formula: 127 meV per atom. The uncorrected formation energy is 0.45 eV per formula unit. The total magnetization comes out at 0.00 μB/f.u.

The space group is P1 (No. 1) and the conventional cell measures 4.352, 5.666 and 10.096 Å, with angles of 100.56, 97.94 and 96.34 degrees. The distinct sites, in fractional coordinates, are Mg at (0.000, 0.000, 0.000), Mg at (0.028, 0.754, 0.366), Mg at (0.410, 0.073, 0.741), Mg at (0.455, 0.473, 0.532), Si at (0.053, 0.271, 0.274), Si at (0.415, 0.704, 0.870), Si at (0.483, 0.695, 0.109), Si at (0.534, 0.064, 0.279), Si at (0.607, 0.934, 0.495), Si at (0.876, 0.489, 0.851), Si at (0.948, 0.278, 0.633) and Si at (0.958, 0.492, 0.094).